First-principles (PBE) data for LuAgPb2 after structural relaxation, as listed in the Alexandria database.

Structure (POSCAR):
```
LuAgPb2
1.0
-0.818 2.608 -2.105
-3.294 0.548 -0.868
-2.547 7.642 7.631
Pb Lu Ag
2 1 1
Direct
0.095 0.095 0.715
0.905 0.905 0.285
0.000 0.000 0.000
0.500 0.500 0.500
```

Summary:
E above lowest polymorph (meV/atom): 342.3
SG: R-3m, No. 166
DOS(E_F) (states/eV/atom): 0.5969
Energy (eV/atom): -3.562